1.
La4TeC | PBE | relaxed

POSCAR file:
```
La4TeC
1.0
5.007 -7.542 0.000
5.007 7.542 0.000
-4.100 0.000 5.112
La Te C
8 2 2
Direct
0.053 0.669 0.895 La
0.160 0.252 0.653 La
0.252 0.160 0.153 La
0.331 0.947 0.605 La
0.669 0.053 0.395 La
0.748 0.840 0.847 La
0.840 0.748 0.347 La
0.947 0.331 0.105 La
0.379 0.621 0.250 Te
0.621 0.379 0.750 Te
0.074 0.926 0.250 C
0.926 0.074 0.750 C
```

Output
DOS at the Fermi energy	12.45	states/eV/cell
energy relative to the lowest polymorph listed for this composition	0.17	eV per formula unit
formation energy (no corrections)	-0.4934	eV per atom



2.
La3TeC | PBE | relaxed

POSCAR file:
```
La3TeC
1.0
8.781 0.000 0.000
0.000 4.046 0.000
-3.120 0.000 8.418
La Te C
6 2 2
Direct
0.039 0.250 0.350 La
0.266 0.250 0.949 La
0.380 0.750 0.656 La
0.620 0.250 0.344 La
0.734 0.750 0.051 La
0.961 0.750 0.650 La
0.293 0.750 0.262 Te
0.707 0.250 0.738 Te
0.179 0.250 0.657 C
0.821 0.750 0.343 C
```

Output
DOS at the Fermi energy	9.79	states/eV/cell
energy relative to the lowest polymorph listed for this composition	0.26	eV per formula unit
formation energy (no corrections)	-0.6555	eV per atom



3.
La3TeC | PBE | relaxed

POSCAR file:
```
La3TeC
1.0
5.171 0.000 0.000
0.000 5.171 0.000
0.000 0.000 5.171
La Te C
3 1 1
Direct
0.000 0.000 0.500 La
0.000 0.500 0.000 La
0.500 0.000 0.000 La
0.500 0.500 0.500 Te
0.000 0.000 0.000 C
```

Output
DOS at the Fermi energy	4.48	states/eV/cell
energy relative to the lowest polymorph listed for this composition	0.73	eV per formula unit
formation energy (no corrections)	-0.5604	eV per atom



4.
La3Te2C | PBE | relaxed

POSCAR file:
```
La3Te2C
1.0
7.121 -3.200 0.000
7.121 3.200 0.000
-2.365 0.000 7.886
La Te C
6 4 2
Direct
0.053 0.947 0.750 La
0.370 0.372 0.434 La
0.372 0.370 0.934 La
0.628 0.630 0.066 La
0.630 0.628 0.566 La
0.947 0.053 0.250 La
0.178 0.181 0.090 Te
0.181 0.178 0.590 Te
0.819 0.822 0.410 Te
0.822 0.819 0.910 Te
0.442 0.558 0.750 C
0.558 0.442 0.250 C
```

Output
DOS at the Fermi energy	5.15	states/eV/cell
formation energy (no corrections)	-1.0338	eV per atom



5.
La4TeC | PBE | relaxed

POSCAR file:
```
La4TeC
1.0
4.385 -7.426 0.000
4.385 7.426 0.000
-3.477 0.000 5.680
La Te C
8 2 2
Direct
0.077 0.671 0.849 La
0.163 0.261 0.701 La
0.261 0.163 0.201 La
0.329 0.923 0.651 La
0.671 0.077 0.349 La
0.739 0.837 0.799 La
0.837 0.739 0.299 La
0.923 0.329 0.151 La
0.383 0.617 0.250 Te
0.617 0.383 0.750 Te
0.066 0.934 0.750 C
0.934 0.066 0.250 C
```

Output
DOS at the Fermi energy	11.80	states/eV/cell
energy relative to the lowest polymorph listed for this composition	0.00	eV per formula unit
formation energy (no corrections)	-0.5220	eV per atom



6.
LaTeC3 | PBE | relaxed

POSCAR file:
```
LaTeC3
1.0
4.236 0.000 0.000
0.000 4.236 0.000
0.000 0.000 4.236
La Te C
1 1 3
Direct
0.000 0.000 0.000 La
0.500 0.500 0.500 Te
0.000 0.500 0.500 C
0.500 0.000 0.500 C
0.500 0.500 0.000 C
```

Output
DOS at the Fermi energy	3.97	states/eV/cell
energy relative to the lowest polymorph listed for this composition	0.00	eV per formula unit
formation energy (no corrections)	1.6850	eV per atom



7.
La3TeC | PBE | relaxed

POSCAR file:
```
La3TeC
1.0
8.948 0.000 0.000
0.000 4.090 0.000
0.000 0.000 15.206
La Te C
12 4 4
Direct
0.025 0.250 0.100 La
0.180 0.250 0.505 La
0.213 0.750 0.299 La
0.287 0.250 0.799 La
0.320 0.750 0.005 La
0.475 0.750 0.600 La
0.525 0.250 0.400 La
0.680 0.250 0.995 La
0.713 0.750 0.201 La
0.787 0.250 0.701 La
0.820 0.750 0.495 La
0.975 0.750 0.900 La
0.080 0.750 0.674 Te
0.420 0.250 0.174 Te
0.580 0.750 0.826 Te
0.920 0.250 0.326 Te
0.163 0.250 0.944 C
0.337 0.750 0.444 C
0.663 0.250 0.556 C
0.837 0.750 0.056 C
```

Output
DOS at the Fermi energy	13.18	states/eV/cell
energy relative to the lowest polymorph listed for this composition	0.00	eV per formula unit
formation energy (no corrections)	-0.7065	eV per atom



8.
LaTe2C2 | PBE | relaxed

POSCAR file:
```
LaTe2C2
1.0
-2.136 2.136 5.922
2.136 -2.136 5.922
2.136 2.136 -5.922
La Te C
1 2 2
Direct
0.000 0.000 0.000 La
0.250 0.750 0.500 Te
0.750 0.250 0.500 Te
0.446 0.446 0.000 C
0.554 0.554 0.000 C
```

Output
DOS at the Fermi energy	1.60	states/eV/cell
energy relative to the lowest polymorph listed for this composition	0.00	eV per formula unit
formation energy (no corrections)	0.2561	eV per atom